# 1
{"formula": "Pm2Ho3Tl3", "functional": "PBE-GGA", "state": "optimized geometry", "cell": [[4.448, 0.000, -0.716], [-0.186, 4.790, -1.152], [-0.544, 0.036, 10.789]], "species": ["Pm", "Tl", "Tl", "Ho", "Tl", "Pm", "Ho", "Ho"], "fractional_positions": [[0.740, 0.240, 0.480], [0.876, 0.876, 0.751], [0.124, 0.124, 0.249], [0.617, 0.617, 0.234], [0.000, 0.500, 0.000], [0.260, 0.760, 0.520], [0.383, 0.383, 0.766], [0.500, 0.000, 0.000]], "spacegroup": "Immm, No. 71", "magnetic_moment_mub_per_cell": 0.000, "relative_energy_ev_per_atom": 0.026}

=====

# 2
{"formula": "Pm2Ho2Tl5", "functional": "PBE-GGA", "state": "optimized geometry", "cell": [[-7.449, 1.745, -2.822], [-2.243, -7.686, 1.169], [-1.323, 5.714, 7.026]], "species": ["Tl", "Tl", "Tl", "Pm", "Tl", "Pm", "Ho", "Pm", "Tl", "Ho", "Ho", "Ho", "Tl", "Pm", "Tl", "Tl", "Tl", "Tl"], "fractional_positions": [[0.356, 0.985, 0.263], [0.000, 0.000, 0.000], [0.144, 0.485, 0.263], [0.500, 0.700, 0.401], [0.500, 0.500, 0.000], [0.500, 0.300, 0.599], [0.344, 0.154, 0.000], [0.000, 0.200, 0.401], [0.644, 0.277, 0.263], [0.844, 0.346, 0.000], [0.656, 0.846, 0.000], [0.156, 0.654, 0.000], [0.856, 0.515, 0.737], [0.000, 0.800, 0.599], [0.356, 0.723, 0.737], [0.644, 0.015, 0.737], [0.144, 0.223, 0.737], [0.856, 0.777, 0.263]], "spacegroup": "Cmce, No. 64", "magnetic_moment_mub_per_cell": 0.000}

=====

no.,formation energy (eV per atom),density of states at the Fermi level (states/eV per atom)
1,-0.243,0.907
2,-0.219,0.745